5
Lattice="3.869 0.000 -1.464 -0.949 4.945 -2.509 -0.049 -0.310 5.715" Properties=species:S:1:pos:R:3 comment="Ca2SiPd2 PBE-GGA optimized geometry" e_tot_ev_per_atom=-4.72 total_magnetization_mub_per_atom=0.00 spacegroup="Immm, No. 71" dos_ef_per_ev_cell=2.74 rho_g_cm3=5.1 raw_formation_energy_kj_per_mol_atoms=-72.96 pbc="T T T"
Si 0.000 0.000 0.000
Pd 1.222 3.714 -2.616
Pd 1.698 1.231 -1.356
Ca 0.082 3.325 0.216
Ca 2.789 1.309 1.526